[1]
VASP calculation (PBE-GGA) on SrPt3I after structural relaxation.

It has space group Pm-3m (No. 221), with a = 5.0874 Å, b = 5.0874 Å, c = 5.0874 Å, α = 90.00°, β = 90.00° and γ = 90.00°. The distinct sites, in fractional coordinates, are Sr at (0.0000, 0.0000, 0.0000), Pt at (0.0000, 0.5000, 0.5000) and I at (0.5000, 0.5000, 0.5000).

The uncorrected formation energy is 0.22 eV per atom. The energy above the most stable polymorph in this dataset comes out at 0.0000 eV/atom. The uncorrected energy is -4.06 eV per atom. Its total magnetization is 0.0 μB per formula unit.

***

[2]
VASP calculation (PBE-GGA) on Pm5Dy6Th after structural relaxation.

It has space group Immm (No. 71), with a = 5.0984 Å, b = 10.0795 Å, c = 15.2896 Å, α = 90.00°, β = 90.00° and γ = 90.00°. The distinct sites, in fractional coordinates, are Pm at (0.0000, 0.0000, 0.0000), Pm at (0.0000, 0.0000, 0.3351), Pm at (0.0000, 0.5000, 0.3342), Dy at (0.0000, 0.2449, 0.5000), Dy at (0.0000, 0.2525, 0.1651) and Th at (0.0000, 0.5000, 0.0000).

The energy of formation comes out at 0.3 eV/f.u. The uncorrected energy is -4.88 eV per atom. Its total magnetization is 0.0 μB per formula unit.

***

[3]
VASP calculation (PBE-GGA) on Er4Tl2Zn after structural relaxation.

It has space group P2_1/m (No. 11), with a = 6.9208 Å, b = 6.6441 Å, c = 8.8969 Å, α = 90.00°, β = 108.88° and γ = 90.00°. The distinct sites, in fractional coordinates, are Er at (0.0911, 0.2500, 0.0484), Er at (0.1851, 0.0043, 0.7255), Er at (0.3128, 0.7500, 0.3545), Tl at (0.2050, 0.2500, 0.4326), Tl at (0.4218, 0.7500, 0.0388) and Zn at (0.4953, 0.2500, 0.2930).

The energy of formation comes out at -1.1 eV/f.u. The energy above the most stable polymorph in this dataset comes out at 0.0469 eV/atom. The uncorrected energy is -3.62 eV per atom. Its total magnetization is 0.0 μB per formula unit.

***

[4]
VASP calculation (PBE-GGA) on TbPr6Sm2 after structural relaxation.

It has space group Cmmm (No. 65), with a = 9.5715 Å, b = 18.0622 Å, c = 3.6914 Å, α = 90.00°, β = 90.00° and γ = 90.00°. The distinct sites, in fractional coordinates, are Tb at (0.0000, 0.0000, 0.0000), Pr at (0.1749, 0.3353, 0.0000), Pr at (0.1837, 0.5000, 0.5000) and Sm at (0.0000, 0.1762, 0.5000).

The energy of formation comes out at 1.1 eV/f.u. The energy above the most stable polymorph in this dataset comes out at 0.0000 eV/atom. The uncorrected energy is -4.62 eV per atom. Its total magnetization is 0.0 μB per formula unit.

***

[5]
VASP calculation (PBE-GGA) on CsRbPd after structural relaxation.

It has space group P2_1/m (No. 11), with a = 6.8302 Å, b = 4.9407 Å, c = 10.0969 Å, α = 90.00°, β = 102.34° and γ = 90.00°. The distinct sites, in fractional coordinates, are Cs at (0.2012, 0.2500, 0.3044), Rb at (0.3349, 0.2500, 0.8562) and Pd at (0.0706, 0.7500, 0.0147).

The energy of formation comes out at 0.1 eV/f.u. The energy above the most stable polymorph in this dataset comes out at 0.0000 eV/atom. The uncorrected energy is -2.30 eV per atom. Its total magnetization is 0.0 μB per formula unit.

***

[6]
VASP calculation (PBE-GGA) on LaYAl2Pd5 after structural relaxation.

It has space group P4/mmm (No. 123), with a = 4.3032 Å, b = 4.3032 Å, c = 9.2468 Å, α = 90.00°, β = 90.00° and γ = 90.00°. The distinct sites, in fractional coordinates, are La at (0.0000, 0.0000, 0.0000), Y at (0.0000, 0.0000, 0.5000), Al at (0.5000, 0.5000, 0.3601), Pd at (0.0000, 0.5000, 0.2303) and Pd at (0.5000, 0.5000, 0.0000).

The energy of formation comes out at -7.3 eV/f.u. The uncorrected energy is -5.79 eV per atom. Its total magnetization is 0.0 μB per formula unit.

***

[7]
VASP calculation (PBE-GGA) on TcSb2TeH after structural relaxation.

It has space group P4/mmm (No. 123), with a = 5.1514 Å, b = 5.1514 Å, c = 5.2111 Å, α = 90.00°, β = 90.00° and γ = 90.00°. The distinct sites, in fractional coordinates, are Tc at (0.0000, 0.0000, 0.0000), Sb at (0.0000, 0.5000, 0.0000), Te at (0.0000, 0.0000, 0.5000) and H at (0.5000, 0.5000, 0.5000).

The energy above the most stable polymorph in this dataset comes out at 0.0186 eV/atom. The uncorrected energy is -4.15 eV per atom. Its total magnetization is 0.0 μB per formula unit.

***

[8]
VASP calculation (PBE-GGA) on LiAc2Au after structural relaxation.

It has space group Cm (No. 8), with a = 7.4646 Å, b = 4.3239 Å, c = 9.4559 Å, α = 90.00°, β = 105.22° and γ = 90.00°. The distinct sites, in fractional coordinates, are Li at (0.0000, 0.0000, 0.0000), Ac at (0.0712, 0.5000, 0.7140), Ac at (0.2620, 0.5000, 0.2892) and Au at (0.1660, 0.0000, 0.4993).

The energy of formation comes out at -0.9 eV/f.u. The uncorrected energy is -3.57 eV per atom. Its total magnetization is 0.0 μB per formula unit.

***

[9]
VASP calculation (PBE-GGA) on LiCaSb2 after structural relaxation.

It has space group Cm (No. 8), with a = 11.7188 Å, b = 3.9239 Å, c = 4.9530 Å, α = 90.00°, β = 112.08° and γ = 90.00°. The distinct sites, in fractional coordinates, are Li at (0.0000, 0.0000, 0.0000), Ca at (0.2619, 0.5000, 0.3678), Sb at (0.0094, 0.5000, 0.4814) and Sb at (0.2207, 0.0000, 0.8370).

The uncorrected formation energy is -0.56 eV per atom. The energy above the most stable polymorph in this dataset comes out at 0.0662 eV/atom. The uncorrected energy is -3.60 eV per atom. Its total magnetization is 0.0 μB per formula unit.

***

[10]
VASP calculation (PBE-GGA) on NaTaW2Au after structural relaxation.

It has space group P4/mmm (No. 123), with a = 4.9514 Å, b = 4.9514 Å, c = 4.9944 Å, α = 90.00°, β = 90.00° and γ = 90.00°. The distinct sites, in fractional coordinates, are Na at (0.0000, 0.0000, 0.0000), Ta at (0.5000, 0.5000, 0.0000), W at (0.0000, 0.5000, 0.5000) and Au at (0.5000, 0.5000, 0.5000).

The energy of formation comes out at 11.9 eV/f.u. The uncorrected energy is -6.10 eV per atom. Its total magnetization is 0.0 μB per formula unit.

***

[11]
VASP calculation (PBE-GGA) on IrPbCl3 after structural relaxation.

It has space group Pm-3m (No. 221), with a = 5.5614 Å, b = 5.5614 Å, c = 5.5614 Å, α = 90.00°, β = 90.00° and γ = 90.00°. The distinct sites, in fractional coordinates, are Ir at (0.0000, 0.0000, 0.0000), Pb at (0.5000, 0.5000, 0.5000) and Cl at (0.0000, 0.5000, 0.5000).

The uncorrected formation energy is 0.61 eV per atom. The energy above the most stable polymorph in this dataset comes out at 0.7109 eV/atom. The uncorrected energy is -3.01 eV per atom. Its total magnetization is 3.8 μB per formula unit.

***

[12]
VASP calculation (PBE-GGA) on Y2NiOs after structural relaxation.

It has space group I-4m2 (No. 119), with a = 4.0433 Å, b = 4.0433 Å, c = 9.7284 Å, α = 90.00°, β = 90.00° and γ = 90.00°. The distinct sites, in fractional coordinates, are Y at (0.0000, 0.0000, 0.0000), Y at (0.0000, 0.5000, 0.2500), Ni at (0.0000, 0.5000, 0.7500) and Os at (0.0000, 0.0000, 0.5000).

The energy of formation comes out at 0.1 eV/f.u. The uncorrected energy is -7.45 eV per atom. Its total magnetization is 0.0 μB per formula unit.

***

[13]
VASP calculation (PBE-GGA) on GaCoReW2 after structural relaxation.

It has space group P4/mmm (No. 123), with a = 4.5437 Å, b = 4.5437 Å, c = 4.0661 Å, α = 90.00°, β = 90.00° and γ = 90.00°. The distinct sites, in fractional coordinates, are Ga at (0.0000, 0.0000, 0.0000), Co at (0.0000, 0.0000, 0.5000), Re at (0.5000, 0.5000, 0.5000) and W at (0.0000, 0.5000, 0.0000).

The energy of formation comes out at 8.4 eV/f.u. The uncorrected energy is -8.02 eV per atom. Its total magnetization is 0.0 μB per formula unit.

***

[14]
VASP calculation (PBE-GGA) on PmYCu2Ge2 after structural relaxation.

It has space group P-3m1 (No. 164), with a = 4.2658 Å, b = 4.2658 Å, c = 7.5888 Å, α = 90.00°, β = 90.00° and γ = 120.00°. The distinct sites, in fractional coordinates, are Pm at (0.0000, 0.0000, 0.0000), Y at (0.0000, 0.0000, 0.5000), Cu at (0.3333, 0.6667, 0.7383) and Ge at (0.3333, 0.6667, 0.2561).

The energy of formation comes out at -4.1 eV/f.u. The uncorrected energy is -5.46 eV per atom. Its total magnetization is 0.0 μB per formula unit.

***

[15]
VASP calculation (PBE-GGA) on Cs2MnAuSe4 after structural relaxation.

It has space group Fddd (No. 70, origin choice 2), with a = 6.0756 Å, b = 14.6376 Å, c = 24.3790 Å, α = 90.00°, β = 90.00° and γ = 90.00°. The distinct sites, in fractional coordinates, are Cs at (0.1250, 0.1250, 0.3057), Mn at (0.1250, 0.1250, 0.6250), Au at (0.1250, 0.1250, 0.1250) and Se at (0.0847, 0.2834, 0.8186).

The uncorrected formation energy is -0.67 eV per atom. The uncorrected energy is -4.18 eV per atom. Its total magnetization is 2.0 μB per formula unit.

***

[16]
VASP calculation (PBE-GGA) on Er4Ni3 after structural relaxation.

It has space group C2/m (No. 12), with a = 13.5785 Å, b = 4.2917 Å, c = 5.4911 Å, α = 90.00°, β = 104.71° and γ = 90.00°. The distinct sites, in fractional coordinates, are Er at (0.0917, 0.0000, 0.2785), Er at (0.1601, 0.5000, 0.8057), Ni at (0.0000, 0.5000, 0.0000) and Ni at (0.2298, 0.5000, 0.3444).

The energy of formation comes out at -2.5 eV/f.u. The uncorrected energy is -5.44 eV per atom. Its total magnetization is 0.0 μB per formula unit.

***

[17]
VASP calculation (PBE-GGA) on ErTeAu4 after structural relaxation.

It has space group F-43m (No. 216), with a = 7.9945 Å, b = 7.9945 Å, c = 7.9945 Å, α = 90.00°, β = 90.00° and γ = 90.00°. The distinct sites, in fractional coordinates, are Er at (0.0000, 0.0000, 0.0000), Te at (0.2500, 0.2500, 0.7500) and Au at (0.1252, 0.1252, 0.3748).

The uncorrected formation energy is -0.38 eV per atom. The uncorrected energy is -3.85 eV per atom. Its total magnetization is 0.0 μB per formula unit.

***

[18]
VASP calculation (PBE-GGA) on Te3P after structural relaxation.

It has space group P4/mmm (No. 123), with a = 5.1972 Å, b = 5.1972 Å, c = 3.6963 Å, α = 90.00°, β = 90.00° and γ = 90.00°. The distinct sites, in fractional coordinates, are Te at (0.0000, 0.0000, 0.0000), Te at (0.0000, 0.5000, 0.5000) and P at (0.5000, 0.5000, 0.0000).

The uncorrected formation energy is 0.58 eV per atom. The energy above the most stable polymorph in this dataset comes out at 0.3944 eV/atom. The uncorrected energy is -3.13 eV per atom. Its total magnetization is 0.0 μB per formula unit.

***

[19]
VASP calculation (PBE-GGA) on CoNi7 after structural relaxation.

It has space group P-6m2 (No. 187), with a = 4.9814 Å, b = 4.9814 Å, c = 4.0642 Å, α = 90.00°, β = 90.00° and γ = 120.00°. The distinct sites, in fractional coordinates, are Co at (0.0000, 0.0000, 0.0000), Ni at (0.9999, 0.5000, 0.0000), Ni at (0.1663, 0.3326, 0.5000) and Ni at (0.6667, 0.3333, 0.5000).

The energy of formation comes out at 0.1 eV/f.u. The uncorrected energy is -5.93 eV per atom. Its total magnetization is 6.7 μB per formula unit.

***

[20]
VASP calculation (PBE-GGA) on TeIr2Rh after structural relaxation.

It has space group Cmm2 (No. 35), with a = 2.8355 Å, b = 5.0273 Å, c = 9.5156 Å, α = 90.00°, β = 90.00° and γ = 90.00°. The distinct sites, in fractional coordinates, are Te at (0.0000, 0.0000, 0.0000), Ir at (0.0000, 0.0000, 0.5047), Ir at (0.0000, 0.5000, 0.2682) and Rh at (0.0000, 0.5000, 0.7436).

The uncorrected formation energy is 0.63 eV per atom. The uncorrected energy is -6.42 eV per atom. Its total magnetization is 0.0 μB per formula unit.